Entry 1:
VASP calculation (PBE-GGA) on a relaxed TbPr2Pd crystal.

```
4
Lattice="3.878 0.000 0.000 1.939 3.358 0.000 1.939 1.119 9.661" Properties=species:S:1:pos:R:3 pbc="T T T"
Pr 1.939 1.119 1.922
Pr 1.939 1.119 7.735
Pd 5.817 3.358 9.655
Tb 3.878 2.239 4.840
```

Computed properties:
- space group = No. 160
- energy above the lowest structure with this stoichiometry (eV per atom) = 0.143
- spin magnetization (μB/cell) = 0.001
- formation energy (eV per atom) = -0.225



Entry 2:
VASP calculation (PBE-GGA) on a relaxed Tb3PrPd crystal.

```
5
Lattice="5.511 0.000 0.000 0.000 5.511 0.000 0.000 0.000 5.511" Properties=species:S:1:pos:R:3 pbc="T T T"
Pr 2.756 2.756 2.756
Tb 0.000 2.756 0.000
Tb 0.000 0.000 2.756
Tb 2.756 0.000 0.000
Pd 0.000 0.000 0.000
```

Computed properties:
- space group = No. 221
- energy above the lowest structure with this stoichiometry (eV per atom) = 0.164
- spin magnetization (μB/cell) = 0.001
- formation energy (eV per atom) = -0.163



Entry 3:
VASP calculation (PBE-GGA) on a relaxed TbPrZnPd crystal.

```
4
Lattice="-0.808 -1.681 -3.124 -1.996 -2.433 1.825 -5.767 4.168 -0.752" Properties=species:S:1:pos:R:3 pbc="T T T"
Pd -2.168 -1.503 -0.749
Zn -4.790 0.392 -1.091
Tb -2.009 1.452 -0.262
Pr -4.955 3.581 -0.646
```

Computed properties:
- space group = No. 99
- energy above the lowest structure with this stoichiometry (eV per atom) = 0.000
- spin magnetization (μB/cell) = 0.000
- formation energy (eV per atom) = -0.561



Entry 4:
VASP calculation (PBE-GGA) on a relaxed TbPrZnPd crystal.

```
4
Lattice="-1.959 -0.148 -4.731 -3.215 -3.762 -1.325 -4.964 1.018 -0.749" Properties=species:S:1:pos:R:3 pbc="T T T"
Zn 0.000 0.000 0.000
Tb -7.604 -2.168 -5.104
Pr -2.535 -0.723 -1.701
Pd -5.069 -1.446 -3.403
```

Computed properties:
- space group = No. 216
- energy above the lowest structure with this stoichiometry (eV per atom) = 0.036
- spin magnetization (μB/cell) = 0.000
- formation energy (eV per atom) = -0.525



Entry 5:
VASP calculation (PBE-GGA) on a relaxed Pr4TcPd crystal.

```
12
Lattice="6.320 -0.429 -1.718 -2.863 7.130 -2.735 -0.457 -0.313 8.210" Properties=species:S:1:pos:R:3 pbc="T T T"
Pr 2.782 3.928 3.245
Pr -2.268 6.623 -0.331
Pr 5.268 -0.234 4.088
Pr -0.714 5.165 2.614
Pr 3.715 1.223 1.142
Pr 0.544 4.832 -2.213
Pr 0.219 2.460 0.512
Pr 2.456 1.557 5.970
Tc 1.113 -0.395 7.744
Tc 1.887 6.783 -3.988
Pd 0.240 2.305 3.763
Pd 2.760 4.084 -0.006
```

Computed properties:
- space group = No. 2
- spin magnetization (μB/cell) = 0.000
- formation energy (eV per atom) = -0.230



Entry 6:
VASP calculation (PBE-GGA) on a relaxed Pr2TePd crystal.

```
8
Lattice="4.713 0.000 0.000 0.000 4.103 -0.729 0.000 0.031 12.088" Properties=species:S:1:pos:R:3 pbc="T T T"
Pd 1.178 1.921 10.815
Pd 3.535 2.213 0.544
Pr 3.535 2.763 3.642
Pr 3.535 3.891 9.995
Pr 1.178 1.371 7.718
Pr 1.178 0.242 1.364
Te 1.178 0.802 4.516
Te 3.535 3.331 6.844
```

Computed properties:
- ΔE_f (raw) (meV/atom) = -1054
- space group = No. 63
- energy above the lowest structure with this stoichiometry (eV per atom) = 0.000
- spin magnetization (μB/cell) = 0.000



Entry 7:
VASP calculation (PBE-GGA) on a relaxed PrTe2Pd4 crystal.

```
7
Lattice="-0.696 3.287 3.157 -0.679 -1.149 4.413 7.271 1.109 3.816" Properties=species:S:1:pos:R:3 pbc="T T T"
Pd 1.285 1.538 5.415
Pd 4.012 0.942 3.271
Pd 1.883 2.305 8.115
Pd 4.610 1.708 5.971
Te 4.507 2.439 8.554
Te 1.388 0.807 2.832
Pr 0.000 0.000 0.000
```

Computed properties:
- ΔE_f (raw) (meV/atom) = -636
- space group = No. 166
- energy above the lowest structure with this stoichiometry (eV per atom) = 0.064
- spin magnetization (μB/cell) = 0.000



Entry 8:
VASP calculation (PBE-GGA) on a relaxed Pr2TePd crystal.

```
4
Lattice="3.831 0.000 0.000 0.000 3.831 0.000 0.000 0.000 7.421" Properties=species:S:1:pos:R:3 pbc="T T T"
Pd 1.915 1.915 0.000
Te 1.915 1.915 3.710
Pr 0.000 0.000 1.732
Pr 0.000 0.000 5.689
```

Computed properties:
- ΔE_f (raw) (meV/atom) = -929
- space group = No. 123
- energy above the lowest structure with this stoichiometry (eV per atom) = 0.125
- spin magnetization (μB/cell) = 0.006